Record 1
Computed, not measured: a relaxed structure of Nd2SmHoSe4 at the GGA-PBE level of DFT.

Properties
**Total magnetic moment**: 0.00 μB/cell
**ΔE_f (raw)**: -1.80 eV/atom

Geometry as POSCAR:
```
Nd2SmHoSe4
1.0
7.211 0.000 0.000
0.000 4.110 0.000
-2.350 0.000 6.937
Nd Sm Ho Se
2 1 1 4
direct
0.000 0.000 0.000
0.500 0.500 0.000
0.000 0.500 0.500
0.500 0.000 0.500
0.252 0.000 0.741
0.260 0.500 0.263
0.740 0.500 0.737
0.748 0.000 0.259
```


Record 2
Computed, not measured: a relaxed structure of RbSc2MnPd at the GGA-PBE level of DFT.

Properties
**DFT formation energy**: 0.67 eV/atom
**Total magnetic moment**: 4.26 μB/cell

Geometry as POSCAR:
```
RbSc2MnPd
1.0
5.120 0.000 0.000
0.000 5.120 0.000
0.000 0.000 6.149
Rb Sc Mn Pd
1 2 1 1
direct
0.000 0.000 0.000
0.000 0.500 0.500
0.500 0.000 0.500
0.500 0.500 0.000
0.000 0.000 0.500
```


| no. | electronic total energy (Ha/atom) |
| --- | --- |
| 1 | -0.2168 |
| 2 | -0.1811 |